Sc6AlGa2 | PBE | optimized geometry

```
data_Sc6AlGa2
_chemical_formula_sum 'Sc12 Al2 Ga4'
_cell_length_a 7.997
_cell_length_b 7.997
_cell_length_c 7.997
_cell_angle_alpha 113.03
_cell_angle_beta 111.70
_cell_angle_gamma 103.83
_space_group_name_H-M_alt 'P 1'
_space_group_IT_number 1
_space_group_name_Hall 'P 1'
loop_
_atom_site_label
_atom_site_type_symbol
_atom_site_fract_x
_atom_site_fract_y
_atom_site_fract_z
Sc1 Sc 0.028 0.821 0.207
Sc2 Sc 0.245 0.547 0.303
Sc3 Sc 0.245 0.942 0.697
Sc4 Sc 0.275 0.317 0.592
Sc5 Sc 0.275 0.683 0.959
Sc6 Sc 0.387 0.179 0.207
Sc7 Sc 0.613 0.821 0.793
Sc8 Sc 0.725 0.317 0.041
Sc9 Sc 0.725 0.683 0.408
Sc10 Sc 0.755 0.058 0.303
Sc11 Sc 0.755 0.453 0.697
Sc12 Sc 0.972 0.179 0.793
Al1 Al 0.000 0.500 0.500
Al2 Al 0.500 0.000 0.500
Ga1 Ga 0.000 0.155 0.155
Ga2 Ga 0.000 0.845 0.845
Ga3 Ga 0.374 0.374 0.000
Ga4 Ga 0.626 0.626 0.000
```

Computed properties:
The space-group type is Immm, No. 71. The density of states at the Fermi level comes out at 6.0 states/eV/f.u. The total energy comes out at -5.727 eV/atom. The formation energy is -417 meV/atom. As for the crystal system: orthorhombic.